Record 1
Here is a geometry-optimized Li3CuRh2 structure from Alexandria. Energies are from PBE-GGA.

The distance to the lowest polymorph of the same formula comes out at 0.0000 eV/atom. Its crystal system is trigonal.

It has space group P-3m1 (No. 164), with a = 5.4031 Å, b = 5.4031 Å, c = 6.5886 Å, α = 90.00°, β = 90.00° and γ = 120.00°. Symmetry generates all atoms from Li at (0.1713, 0.3426, 0.3196), Cu at (0.3333, 0.6667, 0.6786), Rh at (0.0000, 0.0000, 0.0000) and Rh at (0.0000, 0.5000, 0.0000).

Record 2
Here is a geometry-optimized Li3CuRh structure from Alexandria. Energies are from PBE-GGA.

The distance to the lowest polymorph of the same formula comes out at 0.5667 eV/atom. Its crystal system is cubic.

It has space group Pm-3m (No. 221), with a = 4.522 Å, b = 4.522 Å, c = 4.522 Å, α = 90.00°, β = 90.00° and γ = 90.00°. Symmetry generates all atoms from Li at (0.000, 0.000, 0.500), Cu at (0.500, 0.500, 0.500) and Rh at (0.000, 0.000, 0.000).

Record 3
Here is a geometry-optimized Li4Cu2Rh3 structure from Alexandria. Energies are from PBE-GGA.

Its crystal system is orthorhombic.

It has space group Fddd (No. 70, origin choice 2), with a = 4.934 Å, b = 9.044 Å, c = 22.235 Å, α = 90.00°, β = 90.00° and γ = 90.00°. Symmetry generates all atoms from Li at (0.031, 0.266, 0.028), Cu at (0.125, 0.125, 0.573), Rh at (0.125, 0.125, 0.125) and Rh at (0.125, 0.125, 0.356).

Record 4
Here is a geometry-optimized Li5Cu4Rh structure from Alexandria. Energies are from PBE-GGA.

The distance to the lowest polymorph of the same formula comes out at 0.0689 eV/atom. Its crystal system is orthorhombic.

It has space group Immm (No. 71), with a = 4.417 Å, b = 7.265 Å, c = 8.238 Å, α = 90.00°, β = 90.00° and γ = 90.00°. Symmetry generates all atoms from Li at (0.000, 0.000, 0.000), Li at (0.000, 0.218, 0.196), Cu at (0.000, 0.187, 0.500), Cu at (0.000, 0.500, 0.351) and Rh at (0.000, 0.500, 0.000).

Record 5
Here is a geometry-optimized LiCu5Rh2 structure from Alexandria. Energies are from PBE-GGA.

Its crystal system is tetragonal.

It has space group I4mm (No. 107), with a = 5.849 Å, b = 5.849 Å, c = 5.952 Å, α = 90.00°, β = 90.00° and γ = 90.00°. Symmetry generates all atoms from Li at (0.000, 0.000, 0.000), Cu at (0.000, 0.000, 0.496), Cu at (0.249, 0.249, 0.748) and Rh at (0.000, 0.500, 0.498).

Record 6
Here is a geometry-optimized Li2Cu7Rh2 structure from Alexandria. Energies are from PBE-GGA.

The distance to the lowest polymorph of the same formula comes out at 0.0000 eV/atom. Its crystal system is monoclinic.

It has space group C2/m (No. 12), with a = 8.141 Å, b = 8.332 Å, c = 4.683 Å, α = 90.00°, β = 115.78° and γ = 90.00°. Symmetry generates all atoms from Li at (0.000, 0.206, 0.000), Cu at (0.000, 0.000, 0.500), Cu at (0.172, 0.243, 0.675), Cu at (0.247, 0.500, 0.955) and Rh at (0.109, 0.500, 0.341).

Record 7
Here is a geometry-optimized Li5Cu4Rh structure from Alexandria. Energies are from PBE-GGA.

The distance to the lowest polymorph of the same formula comes out at 0.0000 eV/atom. Its crystal system is orthorhombic.

It has space group Pmmn (No. 59, origin choice 2), with a = 7.654 Å, b = 8.656 Å, c = 4.270 Å, α = 90.00°, β = 90.00° and γ = 90.00°. Symmetry generates all atoms from Li at (0.083, 0.095, 0.172), Li at (0.250, 0.750, 0.952), Cu at (0.075, 0.750, 0.405), Cu at (0.250, 0.532, 0.621) and Rh at (0.250, 0.250, 0.691).

Record 8
Here is a geometry-optimized Li6Cu12Rh structure from Alexandria. Energies are from PBE-GGA.

Its crystal system is trigonal.

It has space group R-3m (No. 166, hexagonal axes), with a = 9.8774 Å, b = 9.8774 Å, c = 8.8113 Å, α = 90.00°, β = 90.00° and γ = 120.00°. Symmetry generates all atoms from Li at (0.0874, 0.1749, 0.2532), Cu at (0.0000, 0.2626, 0.5000), Cu at (0.0529, 0.5264, 0.6264) and Rh at (0.0000, 0.0000, 0.5000).

Record 9
Here is a geometry-optimized LiCu4Rh2 structure from Alexandria. Energies are from PBE-GGA.

Its crystal system is monoclinic.

It has space group Cc (No. 9), with a = 5.119 Å, b = 7.742 Å, c = 9.930 Å, α = 90.00°, β = 102.58° and γ = 90.00°. Symmetry generates all atoms from Li at (0.000, 0.180, 0.000), Cu at (0.007, 0.203, 0.495), Cu at (0.008, 0.499, 0.082), Cu at (0.137, 0.009, 0.326), Cu at (0.332, 0.262, 0.218), Rh at (0.132, 0.496, 0.846) and Rh at (0.329, 0.247, 0.728).

Record 10
Here is a geometry-optimized LiCu4Rh structure from Alexandria. Energies are from PBE-GGA.

The distance to the lowest polymorph of the same formula comes out at 0.0000 eV/atom. Its crystal system is monoclinic.

It has space group P2_1/m (No. 11), with a = 3.947 Å, b = 6.400 Å, c = 6.268 Å, α = 90.00°, β = 108.45° and γ = 90.00°. Symmetry generates all atoms from Li at (0.171, 0.250, 0.341), Cu at (0.000, 0.000, 0.000), Cu at (0.337, 0.509, 0.674), Cu at (0.495, 0.250, 0.989) and Rh at (0.166, 0.750, 0.331).

Record 11
Here is a geometry-optimized Li4CuRh2 structure from Alexandria. Energies are from PBE-GGA.

The distance to the lowest polymorph of the same formula comes out at 0.1221 eV/atom. Its crystal system is tetragonal.

It has space group I4/mmm (No. 139), with a = 6.360 Å, b = 6.360 Å, c = 4.944 Å, α = 90.00°, β = 90.00° and γ = 90.00°. Symmetry generates all atoms from Li at (0.207, 0.207, 0.000), Cu at (0.000, 0.000, 0.500) and Rh at (0.000, 0.500, 0.250).

Record 12
Here is a geometry-optimized LiCu6Rh structure from Alexandria. Energies are from PBE-GGA.

The distance to the lowest polymorph of the same formula comes out at 0.2758 eV/atom. Its crystal system is monoclinic.

It has space group C2/m (No. 12), with a = 7.463 Å, b = 4.811 Å, c = 6.522 Å, α = 90.00°, β = 105.60° and γ = 90.00°. Symmetry generates all atoms from Li at (0.000, 0.000, 0.000), Cu at (0.142, 0.000, 0.443), Cu at (0.206, 0.244, 0.807) and Rh at (0.000, 0.500, 0.500).

| no. | Fermi-level density of states (states/eV/f.u.) | calculated total energy (eV per atom) |
| --- | --- | --- |
| 1 | 5.59 | -4.18 |
| 2 | 2.29 | -2.91 |
| 3 | 4.07 | -4.24 |
| 4 | 2.75 | -3.25 |
| 5 | 5.25 | -4.66 |
| 6 | 4.96 | -4.27 |
| 7 | 2.00 | -3.32 |
| 8 | 5.61 | -3.60 |
| 9 | 5.24 | -4.65 |
| 10 | 3.08 | -4.30 |
| 11 | 3.14 | -3.75 |
| 12 | 4.14 | -4.01 |